[1]
The following is a PBE-GGA calculation of a geometry-optimized PmHoGe2Pd5 structure, from the Alexandria database.

Cell lengths 4.2602, 4.2602, 9.1250 Å; angles 90.00, 90.00, 90.00 degrees
With the nearest neighbours (Å) after each atom.
Fractional positions:
Pm: 0.0000 0.0000 0.0000  12 Pd 2.98-3.01
Ho: 0.0000 0.0000 0.5000  8 Ge 3.25, 8 Pd 3.27
Ge: 0.5000 0.5000 0.3664  1 Ge 2.44, 4 Pd 2.47
Ge: 0.5000 0.5000 0.6336  1 Ge 2.44, 4 Pd 2.47
Pd: 0.0000 0.5000 0.2286  2 Ge 2.47
Pd: 0.0000 0.5000 0.7714  2 Ge 2.47
Pd: 0.5000 0.0000 0.2286  2 Ge 2.47
Pd: 0.5000 0.0000 0.7714  2 Ge 2.47
Pd: 0.5000 0.5000 0.0000  8 Pd 2.98, 4 Pm 3.01

Output
Its volume is 18.402 Å³/atom. The value obtained for the energy of formation from the pure elements is -0.80 eV/atom. The calculation puts the total energy at -51.75 eV per formula unit. Its space group is No. 123. Its density of states at the Fermi level is 2.70 states/eV/cell.



[2]
The following is a PBE-GGA calculation of a geometry-optimized Th2Al3CuAu4 structure, from the Alexandria database.

Cell lengths 4.4306, 4.4306, 10.3283 Å; angles 90.00, 90.00, 90.00 degrees
With the nearest neighbours (Å) after each atom.
Fractional positions:
Th: 0.0000 0.5000 0.2454  8 Au 3.36-3.44, 2 Cu 3.37, 6 Al 3.37-3.38
Th: 0.5000 0.0000 0.7546  8 Au 3.36-3.44, 2 Cu 3.37, 6 Al 3.37-3.38
Al: 0.0000 0.0000 0.0000  4 Au 2.58
Al: 0.0000 0.5000 0.6315  5 Au 2.47-2.60
Al: 0.5000 0.0000 0.3685  5 Au 2.47-2.60
Cu: 0.5000 0.5000 0.0000  4 Au 2.58
Au: 0.0000 0.0000 0.5000  4 Al 2.60
Au: 0.0000 0.5000 0.8710  3 Al 2.47-2.58, 2 Cu 2.58
Au: 0.5000 0.0000 0.1290  3 Al 2.47-2.58, 2 Cu 2.58
Au: 0.5000 0.5000 0.5000  4 Al 2.60

Output
Its volume is 20.274 Å³/atom. The value obtained for the energy of formation from the pure elements is -0.59 eV/atom. The calculation puts the total energy at -49.20 eV per formula unit. Its space group is No. 115. Its density of states at the Fermi level is 7.01 states/eV/cell.



[3]
The following is a PBE-GGA calculation of a geometry-optimized NdGdErMg structure, from the Alexandria database.

Cell lengths 5.5567, 5.5567, 5.5567 Å; angles 60.00, 60.00, 60.00 degrees
With the nearest neighbours (Å) after each atom.
Fractional positions:
Nd: 0.0000 0.0000 0.0000  4 Er 3.40, 4 Mg 3.40
Gd: 0.5000 0.5000 0.5000  4 Mg 3.40, 4 Er 3.40
Er: 0.7500 0.7500 0.7500  4 Gd 3.40, 4 Nd 3.40
Mg: 0.2500 0.2500 0.2500  4 Gd 3.40, 4 Nd 3.40

Output
Its volume is 30.329 Å³/atom. The value obtained for the energy of formation from the pure elements is 0.02 eV/atom. The calculation puts the total energy at -24.93 eV per formula unit. Its space group is No. 216. Its density of states at the Fermi level is 4.93 states/eV/cell.



- Among the records above, which one has the highest energy of formation from the pure elements?
  NdGdErMg



- Which of these has the highest energy of formation from the pure elements?
  NdGdErMg



- Among the records above, which one has the lowest volume?
  PmHoGe2Pd5